Record 1
The following is a PBE-GGA calculation of an optimized crystal structure of In2PtSe, from Alexandria.

```
data_In2PtSe
_chemical_formula_sum 'In4 Pt2 Se2'
_cell_length_a 6.005
_cell_length_b 7.763
_cell_length_c 3.575
_cell_angle_alpha 90.00
_cell_angle_beta 90.00
_cell_angle_gamma 90.00
_space_group_name_H-M_alt 'C m m m'
_space_group_IT_number 65
_space_group_name_Hall '-C 2 2'
loop_
_atom_site_label
_atom_site_type_symbol
_atom_site_fract_x
_atom_site_fract_y
_atom_site_fract_z
In1 In 0.250 0.250 0.000
Pt1 Pt 0.000 0.000 0.500
Se1 Se 0.000 0.500 0.500
```

formation energy without anion corrections	-0.0784	eV per atom
total energy	-3.829	eV/atom
DOS at the Fermi energy	0.462	states/eV/atom
volume	83.34	Å³/f.u.

---

Record 2
The following is a PBE-GGA calculation of an optimized crystal structure of ZnPbCl4, from Alexandria.

```
data_ZnPbCl4
_chemical_formula_sum 'Zn4 Pb4 Cl16'
_cell_length_a 8.505
_cell_length_b 8.505
_cell_length_c 8.505
_cell_angle_alpha 90.00
_cell_angle_beta 90.00
_cell_angle_gamma 90.00
_space_group_name_H-M_alt 'F -4 3 m'
_space_group_IT_number 216
_space_group_name_Hall 'F -4 2 3'
loop_
_atom_site_label
_atom_site_type_symbol
_atom_site_fract_x
_atom_site_fract_y
_atom_site_fract_z
Zn1 Zn 0.000 0.000 0.000
Pb1 Pb 0.250 0.250 0.250
Cl1 Cl 0.125 0.125 0.625
```

formation energy without anion corrections	0.1397	eV per atom
total energy	-1.922	eV/atom
DOS at the Fermi energy	0.365	states/eV/atom
volume	153.80	Å³/f.u.

---

Record 3
The following is a PBE-GGA calculation of an optimized crystal structure of TbPr3In4, from Alexandria.

```
data_TbPr3In4
_chemical_formula_sum 'Tb2 Pr6 In8'
_cell_length_a 3.827
_cell_length_b 7.426
_cell_length_c 18.052
_cell_angle_alpha 90.00
_cell_angle_beta 90.00
_cell_angle_gamma 90.00
_space_group_name_H-M_alt 'I m m m'
_space_group_IT_number 71
_space_group_name_Hall '-I 2 2'
loop_
_atom_site_label
_atom_site_type_symbol
_atom_site_fract_x
_atom_site_fract_y
_atom_site_fract_z
Tb1 Tb 0.000 0.000 0.000
Pr1 Pr 0.000 0.000 0.500
Pr2 Pr 0.000 0.500 0.294
In1 In 0.000 0.297 0.127
```

ΔE_f	-310	meV per atom
total energy	-4.051	eV/atom
DOS at the Fermi energy	0.869	states/eV/atom
volume	256.50	Å³/f.u.

---

Record 4
The following is a PBE-GGA calculation of an optimized crystal structure of KBPb, from Alexandria.

```
data_KBPb
_chemical_formula_sum 'K2 B2 Pb2'
_cell_length_a 4.005
_cell_length_b 5.664
_cell_length_c 7.311
_cell_angle_alpha 90.00
_cell_angle_beta 90.00
_cell_angle_gamma 90.00
_space_group_name_H-M_alt 'P m m m'
_space_group_IT_number 47
loop_
_space_group_symop_operation_xyz
'x,y,z'
'-x,-y,-z'
'-x,-y,z'
'x,y,-z'
'x,-y,-z'
'-x,y,z'
'-x,y,-z'
'x,-y,z'
loop_
_atom_site_label
_atom_site_type_symbol
_atom_site_fract_x
_atom_site_fract_y
_atom_site_fract_z
K1 K 0.000 0.000 0.000
K2 K 0.500 0.000 0.500
B1 B 0.000 0.500 0.390
Pb1 Pb 0.500 0.500 0.209
```

ΔE_f	368	meV per atom
total energy	-3.460	eV/atom
DOS at the Fermi energy	0.216	states/eV/atom
volume	82.91	Å³/f.u.